Compound: Rb2Au2Br7
Source: the Alexandria database
Functional: PBE-GGA
Structure: optimized geometry

Unit cell a=6.3506 b=17.4623 c=8.1954 alpha=90.00 beta=99.98 gamma=90.00
Positions (direct):
Rb: 0.2256 0.1241 0.3879
Rb: 0.2256 0.3759 0.8879
Rb: 0.7744 0.6241 0.1121
Rb: 0.7744 0.8759 0.6121
Au: 0.3060 0.5999 0.5970
Au: 0.3060 0.9001 0.0970
Au: 0.6940 0.0999 0.9030
Au: 0.6940 0.4001 0.4030
Br: 0.0000 0.0000 0.0000
Br: 0.0000 0.5000 0.5000
Br: 0.2602 0.5790 0.8899
Br: 0.2602 0.9210 0.3899
Br: 0.3146 0.6275 0.3016
Br: 0.3146 0.8725 0.8016
Br: 0.3547 0.1770 0.8125
Br: 0.3547 0.3230 0.3125
Br: 0.6453 0.6770 0.6875
Br: 0.6453 0.8230 0.1875
Br: 0.6854 0.1275 0.1984
Br: 0.6854 0.3725 0.6984
Br: 0.7398 0.0790 0.6101
Br: 0.7398 0.4210 0.1101

Calculated values
Space-group type: P2_1/c, No. 14
Total moment: 0.000 μB per atom
ΔE_f (raw): -759 kJ/mol of formula units